Material: CrSb2Pb
Method: DFT, PBE
State: relaxed

**E_tot**: -5.205 eV per atom
**ΔE_f (raw)**: 0.190 eV/atom
**Volume**: 25.0 Å³ per atom
**M_tot**: 0.74 μB per atom
**Mass density**: 8.35 g/cm3

Structure (CIF):
```
data_CrSb2Pb
_chemical_formula_sum 'Cr1 Sb2 Pb1'
_symmetry_space_group_name_H-M 'P 4/m m m'
_symmetry_Int_Tables_number 123
_symmetry_space_group_name_Hall '-P 4 2'
_cell_length_a 3.3814
_cell_length_b 3.3814
_cell_length_c 8.7440
_cell_angle_alpha 90.00
_cell_angle_beta 90.00
_cell_angle_gamma 90.00
loop_
_atom_site_label
_atom_site_type_symbol
_atom_site_fract_x
_atom_site_fract_y
_atom_site_fract_z
Cr1 Cr 0.0000 0.0000 0.0000
Sb1 Sb 0.5000 0.5000 0.1865
Pb1 Pb 0.0000 0.0000 0.5000
```